Record 1
Below is a relaxed Ta2BeFe2 crystal, with properties calculated at the PBE-GGA level.

Geometry as extended XYZ:
```
10
Lattice="6.7567 0.0000 0.0000 0.0000 6.7567 0.0000 0.0000 0.0000 3.0556" Properties=species:S:1:pos:R:3 pbc="T T T"
Ta 1.1449 2.2334 0.0000
Ta 2.2334 5.6118 0.0000
Ta 4.5232 1.1449 0.0000
Ta 5.6118 4.5232 0.0000
Be 0.0000 0.0000 1.5278
Be 3.3783 3.3783 1.5278
Fe 0.9142 4.2926 1.5278
Fe 2.4641 0.9142 1.5278
Fe 4.2926 5.8425 1.5278
Fe 5.8425 2.4641 1.5278
```

Summary:
**Electronic total energy**: -43.745 eV per formula unit
**Size of the total moment**: 0.0 Bohr magnetons per cell

***

Record 2
Below is a relaxed ScTcTe3 crystal, with properties calculated at the PBE-GGA level.

Geometry as extended XYZ:
```
5
Lattice="5.2609 0.0000 0.0000 0.0000 5.2609 0.0000 0.0000 0.0000 5.2609" Properties=species:S:1:pos:R:3 pbc="T T T"
Sc 0.0000 0.0000 0.0000
Tc 2.6305 2.6305 2.6305
Te 0.0000 2.6305 2.6305
Te 2.6305 0.0000 2.6305
Te 2.6305 2.6305 0.0000
```

Summary:
**Electronic total energy**: -24.550 eV per formula unit
**Size of the total moment**: 2.0 Bohr magnetons per cell
**ΔE_f (raw)**: 0.315 eV/atom

***

Record 3
Below is a relaxed Sc2MnOsC crystal, with properties calculated at the PBE-GGA level.

Geometry as extended XYZ:
```
5
Lattice="4.5527 0.0000 0.0000 0.0000 4.5527 0.0000 0.0000 0.0000 3.9066" Properties=species:S:1:pos:R:3 pbc="T T T"
Sc 0.0000 2.2764 0.0000
Sc 2.2764 0.0000 0.0000
Mn 0.0000 0.0000 1.9533
Os 2.2764 2.2764 1.9533
C 2.2764 2.2764 0.0000
```

Summary:
**Electronic total energy**: -43.340 eV per formula unit
**Size of the total moment**: 3.9 Bohr magnetons per cell

***

Record 4
Below is a relaxed YHW2 crystal, with properties calculated at the PBE-GGA level.

Geometry as extended XYZ:
```
16
Lattice="6.4151 0.0000 0.0000 0.0000 6.4151 0.0000 0.0000 0.0000 6.4151" Properties=species:S:1:pos:R:3 pbc="T T T"
Y 0.0000 0.0000 0.0000
Y 0.0000 3.2075 3.2075
Y 3.2075 0.0000 3.2075
Y 3.2075 3.2075 0.0000
H 0.0000 0.0000 3.2075
H 0.0000 3.2075 0.0000
H 3.2075 0.0000 0.0000
H 3.2075 3.2075 3.2075
W 1.6038 1.6038 1.6038
W 1.6038 1.6038 4.8113
W 1.6038 4.8113 1.6038
W 1.6038 4.8113 4.8113
W 4.8113 1.6038 1.6038
W 4.8113 1.6038 4.8113
W 4.8113 4.8113 1.6038
W 4.8113 4.8113 4.8113
```

Summary:
**Electronic total energy**: -28.098 eV per formula unit
**Size of the total moment**: 0.0 Bohr magnetons per cell

***

Record 5
Below is a relaxed K3SbTe3 crystal, with properties calculated at the PBE-GGA level.

Geometry as extended XYZ:
```
14
Lattice="4.8685 -7.1798 0.0000 4.8685 7.1798 0.0000 -0.4101 0.0000 9.0273" Properties=species:S:1:pos:R:3 pbc="T T T"
K 4.8685 4.7459 0.0000
K 4.6634 4.1246 4.5137
K 3.2532 0.0000 7.7049
K 6.0736 0.0000 1.3224
K 4.6634 -4.1246 4.5137
K 4.8685 -4.7459 0.0000
Sb 2.2066 0.0000 3.2874
Sb 7.1202 0.0000 5.7399
Te 0.0877 0.0000 6.5335
Te 3.1912 2.2004 1.8355
Te 3.1912 -2.2004 1.8355
Te 6.1356 2.2004 7.1918
Te 6.1356 -2.2004 7.1918
Te 9.2391 0.0000 2.4938
```

Summary:
**Electronic total energy**: -21.993 eV per formula unit
**Size of the total moment**: 0.0 Bohr magnetons per cell
**ΔE_f (raw)**: -0.736 eV/atom

***

Record 6
Below is a relaxed TiAl2SbS crystal, with properties calculated at the PBE-GGA level.

Geometry as extended XYZ:
```
5
Lattice="5.1752 0.0000 0.0000 0.0000 5.1752 0.0000 0.0000 0.0000 5.0909" Properties=species:S:1:pos:R:3 pbc="T T T"
Ti 0.0000 0.0000 0.0000
Al 0.0000 2.5876 0.0000
Al 2.5876 0.0000 0.0000
Sb 0.0000 0.0000 2.5454
S 2.5876 2.5876 2.5454
```

Summary:
**Electronic total energy**: -19.931 eV per formula unit
**Size of the total moment**: 0.0 Bohr magnetons per cell
**ΔE_f (raw)**: 0.740 eV/atom

***

Record 7
Below is a relaxed Sm7DySc4 crystal, with properties calculated at the PBE-GGA level.

Geometry as extended XYZ:
```
12
Lattice="7.7870 -2.9133 0.0000 7.7870 2.9133 0.0000 -4.7278 0.0000 8.1840" Properties=species:S:1:pos:R:3 pbc="T T T"
Sm 0.0000 0.0000 0.0000
Sm 0.6570 0.0000 5.9492
Sm 3.9757 0.0000 0.9420
Sm 3.7931 0.0000 4.5005
Sm 7.0531 0.0000 3.6836
Sm 6.8704 0.0000 7.2420
Sm 10.1892 0.0000 2.2348
Dy 7.7870 0.0000 0.0000
Sc -2.4239 0.0000 5.7214
Sc 0.9031 0.0000 2.8655
Sc 9.9431 0.0000 5.3185
Sc 13.2701 0.0000 2.4627
```

Summary:
**Electronic total energy**: -60.147 eV per formula unit
**Size of the total moment**: 0.3 Bohr magnetons per cell

***

Record 8
Below is a relaxed TlCd2Au crystal, with properties calculated at the PBE-GGA level.

Geometry as extended XYZ:
```
8
Lattice="9.3908 0.0000 0.0000 0.0000 3.9642 0.0000 -1.6302 0.0000 5.1405" Properties=species:S:1:pos:R:3 pbc="T T T"
Tl 0.0000 0.0000 0.0000
Tl 4.6954 1.9821 0.0000
Cd 1.0521 0.0000 3.6344
Cd 2.0131 1.9821 1.5061
Cd 5.7475 1.9821 3.6344
Cd 6.7085 0.0000 1.5061
Au -0.8151 1.9821 2.5702
Au 3.8803 0.0000 2.5702
```

Summary:
**Electronic total energy**: -7.559 eV per formula unit
**Size of the total moment**: 0.0 Bohr magnetons per cell

***

Record 9
Below is a relaxed SnTeOs2 crystal, with properties calculated at the PBE-GGA level.

Geometry as extended XYZ:
```
16
Lattice="5.9995 0.0000 0.0000 0.0000 5.9995 0.0000 0.0000 0.0000 11.5889" Properties=species:S:1:pos:R:3 pbc="T T T"
Sn 0.0000 0.0000 0.0000
Sn 0.0000 2.9998 2.8972
Sn 2.9998 0.0000 8.6917
Sn 2.9998 2.9998 5.7945
Te 0.0000 0.0000 5.7945
Te 0.0000 2.9998 8.6917
Te 2.9998 0.0000 2.8972
Te 2.9998 2.9998 0.0000
Os 1.4349 1.4999 7.2431
Os 1.4999 4.4347 10.1403
Os 1.4999 4.5646 4.3459
Os 1.5648 1.4999 1.4486
Os 4.4347 4.4997 1.4486
Os 4.4997 1.4349 4.3459
Os 4.4997 1.5648 10.1403
Os 4.5646 4.4997 7.2431
```

Summary:
**Electronic total energy**: -25.322 eV per formula unit
**Size of the total moment**: 0.0 Bohr magnetons per cell
**ΔE_f (raw)**: 1.070 eV/atom

***

Record 10
Below is a relaxed Ta3B4Mo3 crystal, with properties calculated at the PBE-GGA level.

Geometry as extended XYZ:
```
10
Lattice="3.2687 0.0000 0.0000 0.0000 4.3205 4.2874 0.0000 -4.3205 4.2874" Properties=species:S:1:pos:R:3 pbc="T T T"
Ta 0.0000 0.0000 0.0000
Ta 0.0000 -1.5357 5.7926
Ta 0.0000 1.5357 5.7926
B 1.6344 -0.9424 1.5228
B 1.6344 0.9424 1.5228
B 1.6344 0.0000 4.8346
B 1.6344 0.0000 6.7447
Mo 0.0000 0.0000 3.0127
Mo 1.6344 -2.1503 3.6453
Mo 1.6344 2.1503 3.6453
```

Summary:
**Electronic total energy**: -100.949 eV per formula unit
**Size of the total moment**: 0.0 Bohr magnetons per cell

***

Record 11
Below is a relaxed BaPI crystal, with properties calculated at the PBE-GGA level.

Geometry as extended XYZ:
```
12
Lattice="12.8207 0.0000 0.0000 0.0000 4.2985 0.0000 -2.5297 0.0000 9.0771" Properties=species:S:1:pos:R:3 pbc="T T T"
Ba 1.2239 0.0000 1.8879
Ba 2.6568 2.1493 7.1893
Ba 7.6342 2.1493 1.8879
Ba 9.0672 0.0000 7.1893
P 1.8723 2.1493 4.1596
P 2.0083 0.0000 4.9175
P 8.2827 0.0000 4.1596
P 8.4187 2.1493 4.9175
I -0.8797 2.1493 7.9774
I 4.7603 0.0000 1.0998
I 5.5307 0.0000 7.9774
I 11.1707 2.1493 1.0998
```

Summary:
**Electronic total energy**: -12.271 eV per formula unit
**Size of the total moment**: 0.0 Bohr magnetons per cell
**ΔE_f (raw)**: -1.130 eV/atom

***

Record 12
Below is a relaxed La5NdHg6 crystal, with properties calculated at the PBE-GGA level.

Geometry as extended XYZ:
```
12
Lattice="2.7454 -8.2470 0.0000 2.7454 8.2470 0.0000 0.0000 0.0000 7.8487" Properties=species:S:1:pos:R:3 pbc="T T T"
La 0.0000 0.0000 0.0000
La 2.7454 2.7719 0.0000
La 2.7454 2.7478 3.9244
La 2.7454 -2.7478 3.9244
La 2.7454 -2.7719 0.0000
Nd 0.0000 0.0000 3.9244
Hg 2.7454 5.5301 1.9824
Hg 2.7454 5.5301 5.8663
Hg 2.7454 0.0000 1.9888
Hg 2.7454 0.0000 5.8599
Hg 2.7454 -5.5301 1.9824
Hg 2.7454 -5.5301 5.8663
```

Summary:
**Electronic total energy**: -37.171 eV per formula unit
**Size of the total moment**: 2.4 Bohr magnetons per cell

***

- Among the records above, which one has the highest size of the total moment?
  Sc2MnOsC

***

What did the fourth record say?
Below is a relaxed YHW2 crystal, with properties calculated at the PBE-GGA level.

Geometry as extended XYZ:
```
16
Lattice="6.4151 0.0000 0.0000 0.0000 6.4151 0.0000 0.0000 0.0000 6.4151" Properties=species:S:1:pos:R:3 pbc="T T T"
Y 0.0000 0.0000 0.0000
Y 0.0000 3.2075 3.2075
Y 3.2075 0.0000 3.2075
Y 3.2075 3.2075 0.0000
H 0.0000 0.0000 3.2075
H 0.0000 3.2075 0.0000
H 3.2075 0.0000 0.0000
H 3.2075 3.2075 3.2075
W 1.6038 1.6038 1.6038
W 1.6038 1.6038 4.8113
W 1.6038 4.8113 1.6038
W 1.6038 4.8113 4.8113
W 4.8113 1.6038 1.6038
W 4.8113 1.6038 4.8113
W 4.8113 4.8113 1.6038
W 4.8113 4.8113 4.8113
```

Summary:
**Electronic total energy**: -28.098 eV per formula unit
**Size of the total moment**: 0.0 Bohr magnetons per cell

***

- Among the records above, which one has the highest electronic total energy?
  TlCd2Au

***

- Which of these has the highest electronic total energy?
  TlCd2Au